[1]
Entry from the Alexandria database: NdTh2Mo after structural relaxation (PBE).

abc: 3.604 3.604 8.642
angles: 90.00 90.00 90.00
Atoms (fractional coordinates):
Nd: 0.000 0.000 0.000
Th: 0.500 0.500 0.295
Th: 0.500 0.500 0.705
Mo: 0.000 0.000 0.500

DFT total energy in eV/cell: -29.7
Relative energy among the computed polymorphs in kJ/mol of formula units: 0


[2]
Entry from the Alexandria database: LaMoPb after structural relaxation (PBE).

abc: 3.628 3.628 6.906
angles: 90.00 90.00 120.00
Atoms (fractional coordinates):
La: 0.000 0.000 0.000
Mo: 0.667 0.333 0.308
Pb: 0.333 0.667 0.587

DFT total energy in eV/cell: -18.0
Relative energy among the computed polymorphs in kJ/mol of formula units: 50


[3]
Entry from the Alexandria database: BeCoNi2 after structural relaxation (PBE).

abc: 4.590 4.590 4.590
angles: 147.50 129.00 61.78
Atoms (fractional coordinates):
Be: 0.000 0.000 0.000
Co: 0.231 0.731 0.500
Ni: 0.501 0.501 0.000
Ni: 0.776 0.276 0.500

DFT total energy in eV/cell: -22.9


[4]
Entry from the Alexandria database: ReTeW after structural relaxation (PBE).

abc: 3.094 3.094 6.582
angles: 90.00 90.00 120.00
Atoms (fractional coordinates):
Re: 0.000 0.000 0.000
Te: 0.333 0.667 0.355
W: 0.667 0.333 0.710

DFT total energy in eV/cell: -26.6
Formation energy (no corrections) in eV per atom: 0.638
Relative energy among the computed polymorphs in kJ/mol of formula units: 20


[5]
Entry from the Alexandria database: Lu5Zn after structural relaxation (PBE).

abc: 7.589 7.589 4.699
angles: 90.00 90.00 143.96
Atoms (fractional coordinates):
Lu: 0.000 0.000 0.000
Lu: 0.161 0.839 0.500
Lu: 0.334 0.666 0.000
Lu: 0.666 0.334 0.000
Lu: 0.839 0.161 0.500
Zn: 0.500 0.500 0.500

DFT total energy in eV/cell: -23.9


[6]
Entry from the Alexandria database: DyYSnPd after structural relaxation (PBE).

abc: 5.161 5.161 5.161
angles: 60.00 60.00 60.00
Atoms (fractional coordinates):
Dy: 0.000 0.000 0.000
Y: 0.500 0.500 0.500
Sn: 0.750 0.750 0.750
Pd: 0.250 0.250 0.250

DFT total energy in eV/cell: -23.3


[7]
Entry from the Alexandria database: Pr5Er4In4 after structural relaxation (PBE).

abc: 9.291 9.291 9.291
angles: 94.26 94.26 148.36
Atoms (fractional coordinates):
Pr: 0.000 0.000 0.000
Pr: 0.306 0.398 0.704
Pr: 0.398 0.694 0.092
Pr: 0.602 0.306 0.908
Pr: 0.694 0.602 0.296
Er: 0.094 0.601 0.695
Er: 0.399 0.094 0.493
Er: 0.601 0.906 0.507
Er: 0.906 0.399 0.305
In: 0.097 0.240 0.337
In: 0.240 0.903 0.143
In: 0.760 0.097 0.857
In: 0.903 0.760 0.663

DFT total energy in eV/cell: -57.0


[8]
Entry from the Alexandria database: Al2TcMo after structural relaxation (PBE).

abc: 8.826 8.826 8.826
angles: 18.76 18.76 18.76
Atoms (fractional coordinates):
Al: 0.000 0.000 0.000
Al: 0.245 0.245 0.245
Tc: 0.497 0.497 0.497
Mo: 0.752 0.752 0.752

DFT total energy in eV/cell: -29.1
Relative energy among the computed polymorphs in kJ/mol of formula units: 97